(1)
The following is a DFT calculation (meta-GGA SCAN) of DyCdIn at its PBEsol-relaxed geometry.

Values from the calculation:
ΔH_f (0 K) ... -536 meV per atom

a = 4.7704 Å, b = 4.7704 Å, c = 7.3189 Å
α = 90.00°, β = 90.00°, γ = 120.00°
Positions (direct):
Cd (0.3333, 0.6667, 0.4729)
Cd (0.6667, 0.3333, 0.5271)
Dy (0.0000, 0.0000, 0.7376)
Dy (0.0000, 0.0000, 0.2624)
In (0.6667, 0.3333, 0.9462)
In (0.3333, 0.6667, 0.0538)

(2)
The following is a DFT calculation (meta-GGA SCAN) of Dy4CdIr at its PBEsol-relaxed geometry.

Values from the calculation:
ΔH_f (0 K) ... -658 meV per atom

a = 9.4508 Å, b = 9.4508 Å, c = 9.4508 Å
α = 60.00°, β = 60.00°, γ = 60.00°
Positions (direct):
Cd (0.1694, 0.1694, 0.1694)
Cd (0.1694, 0.4918, 0.1694)
Cd (0.4918, 0.1694, 0.1694)
Cd (0.1694, 0.1694, 0.4918)
Dy (0.8115, 0.8115, 0.1885)
Dy (0.5596, 0.5596, 0.9404)
Dy (0.5596, 0.9404, 0.9404)
Dy (0.8115, 0.1885, 0.1885)
Dy (0.9404, 0.5596, 0.9404)
Dy (0.9404, 0.5596, 0.5596)
Dy (0.4001, 0.4001, 0.4001)
Dy (0.9404, 0.9404, 0.5596)
Dy (0.4001, 0.4001, 0.7996)
Dy (0.5596, 0.9404, 0.5596)
Dy (0.8115, 0.1885, 0.8115)
Dy (0.1885, 0.8115, 0.8115)
Dy (0.7996, 0.4001, 0.4001)
Dy (0.1885, 0.8115, 0.1885)
Dy (0.1885, 0.1885, 0.8115)
Dy (0.4001, 0.7996, 0.4001)
Ir (0.6080, 0.6080, 0.6080)
Ir (0.6080, 0.1760, 0.6080)
Ir (0.1760, 0.6080, 0.6080)
Ir (0.6080, 0.6080, 0.1760)

(3)
The following is a DFT calculation (meta-GGA SCAN) of Dy2MgCd at its PBEsol-relaxed geometry.

Values from the calculation:
ΔH_f (0 K) ... -249 meV per atom

a = 5.2335 Å, b = 5.2335 Å, c = 5.2335 Å
α = 60.00°, β = 60.00°, γ = 60.00°
Site moments in Bohr magnetons follow the coordinates.
Positions (direct):
Dy (0.7500, 0.7500, 0.7500)  0.11
Dy (0.2500, 0.2500, 0.2500)  0.11
Mg (0.0000, 0.0000, 0.0000)  0.01
Cd (0.5000, 0.5000, 0.5000)  0.00

(4)
The following is a DFT calculation (meta-GGA SCAN) of Dy4CdNi at its PBEsol-relaxed geometry.

Values from the calculation:
ΔH_f (0 K) ... -360 meV per atom

a = 9.3556 Å, b = 9.3556 Å, c = 9.3556 Å
α = 60.00°, β = 60.00°, γ = 60.00°
Positions (direct):
Ni (0.6075, 0.1775, 0.6075)
Ni (0.1775, 0.6075, 0.6075)
Ni (0.6075, 0.6075, 0.6075)
Ni (0.6075, 0.6075, 0.1775)
Dy (0.4014, 0.4014, 0.4014)
Dy (0.7958, 0.4014, 0.4014)
Dy (0.5607, 0.9393, 0.9393)
Dy (0.5607, 0.9393, 0.5607)
Dy (0.8136, 0.1864, 0.8136)
Dy (0.9393, 0.9393, 0.5607)
Dy (0.5607, 0.5607, 0.9393)
Dy (0.4014, 0.4014, 0.7958)
Dy (0.8136, 0.1864, 0.1864)
Dy (0.1864, 0.8136, 0.1864)
Dy (0.1864, 0.1864, 0.8136)
Dy (0.9393, 0.5607, 0.9393)
Dy (0.9393, 0.5607, 0.5607)
Dy (0.4014, 0.7958, 0.4014)
Dy (0.8136, 0.8136, 0.1864)
Dy (0.1864, 0.8136, 0.8136)
Cd (0.1692, 0.1692, 0.4923)
Cd (0.1692, 0.4923, 0.1692)
Cd (0.4923, 0.1692, 0.1692)
Cd (0.1692, 0.1692, 0.1692)

(5)
The following is a DFT calculation (meta-GGA SCAN) of DyCdPd2 at its PBEsol-relaxed geometry.

Values from the calculation:
ΔH_f (0 K) ... -783 meV per atom

a = 4.7015 Å, b = 4.7015 Å, c = 4.7015 Å
α = 60.00°, β = 60.00°, γ = 60.00°
Positions (direct):
Pd (0.7500, 0.7500, 0.7500)
Pd (0.2500, 0.2500, 0.2500)
Cd (0.5000, 0.5000, 0.5000)
Dy (0.0000, 0.0000, 0.0000)

(6)
The following is a DFT calculation (meta-GGA SCAN) of DyCdPt2 at its PBEsol-relaxed geometry.

Values from the calculation:
ΔH_f (0 K) ... -934 meV per atom

a = 4.7142 Å, b = 4.7142 Å, c = 4.7142 Å
α = 60.00°, β = 60.00°, γ = 60.00°
Positions (direct):
Pt (0.2500, 0.2500, 0.2500)
Pt (0.7500, 0.7500, 0.7500)
Dy (0.5000, 0.5000, 0.5000)
Cd (0.0000, 0.0000, 0.0000)

no.,calculated total energy (eV per atom)
1,-37.7347
2,-49.4408
3,-32.9943
4,-39.9885
5,-36.7225
6,-55.5832